[1]
The following is a GGA-PBE calculation of LiSc2TiC after structural relaxation, from the Alexandria database.

Lattice parameters (Å, degrees): 4.6206 4.6206 4.1728 90.00 90.00 90.00
Space group P4/mmm (No. 123)
Asymmetric unit:
Li  0.0000  0.0000  0.0000 [1 per cell]
Sc  0.0000  0.5000  0.5000 [2 per cell]
Ti  0.5000  0.5000  0.0000 [1 per cell]
C  0.5000  0.5000  0.5000 [1 per cell]

Results
The total magnetic moment is 0.0 μB per cell. The formation energy is -147.4 meV per atom.

=====

[2]
The following is a GGA-PBE calculation of LiSc2TlC after structural relaxation, from the Alexandria database.

Lattice parameters (Å, degrees): 4.5040 4.5040 4.4545 90.00 90.00 90.00
Space group P4/mmm (No. 123)
Asymmetric unit:
Li  0.0000  0.0000  0.0000 [1 per cell]
Sc  0.0000  0.5000  0.5000 [2 per cell]
Tl  0.5000  0.5000  0.0000 [1 per cell]
C  0.0000  0.0000  0.5000 [1 per cell]

Results
The total magnetic moment is 0.0 μB per cell. The formation energy is -273.3 meV per atom.

=====

[3]
The following is a GGA-PBE calculation of LiSc2VC after structural relaxation, from the Alexandria database.

Lattice parameters (Å, degrees): 4.6377 4.6377 3.9889 90.00 90.00 90.00
Space group P4/mmm (No. 123)
Asymmetric unit:
Li  0.0000  0.0000  0.0000 [1 per cell]
Sc  0.0000  0.5000  0.5000 [2 per cell]
V  0.5000  0.5000  0.0000 [1 per cell]
C  0.5000  0.5000  0.5000 [1 per cell]

Results
The total magnetic moment is 2.2 μB per cell. The formation energy is -79.6 meV per atom.

=====

[4]
The following is a GGA-PBE calculation of LiY2ScC after structural relaxation, from the Alexandria database.

Lattice parameters (Å, degrees): 5.0311 5.0311 4.5135 90.00 90.00 90.00
Space group P4/mmm (No. 123)
Asymmetric unit:
Li  0.0000  0.0000  0.0000 [1 per cell]
Y  0.0000  0.5000  0.5000 [2 per cell]
Sc  0.5000  0.5000  0.0000 [1 per cell]
C  0.5000  0.5000  0.5000 [1 per cell]

Results
The total magnetic moment is 0.6 μB per cell. The formation energy is -117.9 meV per atom.

=====

[5]
The following is a GGA-PBE calculation of LiZrSc2C after structural relaxation, from the Alexandria database.

Lattice parameters (Å, degrees): 4.5732 4.5732 4.5994 90.00 90.00 90.00
Space group P4/mmm (No. 123)
Asymmetric unit:
Li  0.0000  0.0000  0.0000 [1 per cell]
Zr  0.5000  0.5000  0.0000 [1 per cell]
Sc  0.0000  0.5000  0.5000 [2 per cell]
C  0.5000  0.5000  0.5000 [1 per cell]

Results
The total magnetic moment is 0.8 μB per cell. The formation energy is -136.3 meV per atom.

=====

[6]
The following is a GGA-PBE calculation of LiCSe after structural relaxation, from the Alexandria database.

Lattice parameters (Å, degrees): 2.9352 3.3801 4.6568 90.00 90.00 90.00
Space group Pmm2 (No. 25)
Asymmetric unit:
Li  0.0000  0.0000  0.0000 [1 per cell]
C  0.5000  0.5000  0.1879 [1 per cell]
Se  0.0000  0.5000  0.4563 [1 per cell]

Results
The formation energy from raw total energies comes out at 0.5122 eV per atom. The total magnetic moment is 0.0 μB per cell.

=====

[7]
The following is a GGA-PBE calculation of Li3CSe after structural relaxation, from the Alexandria database.

Lattice parameters (Å, degrees): 4.0853 4.0853 4.0853 90.00 90.00 90.00
Space group Pm-3m (No. 221)
Asymmetric unit:
Li  0.0000  0.0000  0.5000 [3 per cell]
C  0.0000  0.0000  0.0000 [1 per cell]
Se  0.5000  0.5000  0.5000 [1 per cell]

Results
The formation energy from raw total energies comes out at 0.2189 eV per atom. The total magnetic moment is 0.0 μB per cell.

=====

[8]
The following is a GGA-PBE calculation of LiC3Se after structural relaxation, from the Alexandria database.

Lattice parameters (Å, degrees): 3.9457 3.9457 3.9457 90.00 90.00 90.00
Space group Pm-3m (No. 221)
Asymmetric unit:
Li  0.0000  0.0000  0.0000 [1 per cell]
C  0.0000  0.5000  0.5000 [3 per cell]
Se  0.5000  0.5000  0.5000 [1 per cell]

Results
The formation energy from raw total energies comes out at 2.6553 eV per atom. The total magnetic moment is 0.0 μB per cell.

=====

[9]
The following is a GGA-PBE calculation of LiCSe after structural relaxation, from the Alexandria database.

Lattice parameters (Å, degrees): 7.7480 4.0547 7.4243 90.00 97.42 90.00
Space group Cm (No. 8)
Asymmetric unit:
Li  0.0000  0.0000  0.0000 [2 per cell]
Li  0.1658  0.0000  0.4686 [2 per cell]
C  0.0718  0.5000  0.8421 [2 per cell]
C  0.1470  0.5000  0.0013 [2 per cell]
Se  0.2673  0.5000  0.2323 [2 per cell]
Se  0.4967  0.0000  0.5972 [2 per cell]

Results
The formation energy from raw total energies comes out at -0.0719 eV per atom. The total magnetic moment is 0.0 μB per cell.

=====

[10]
The following is a GGA-PBE calculation of Li2CSe after structural relaxation, from the Alexandria database.

Lattice parameters (Å, degrees): 5.8924 5.8924 5.8924 90.00 90.00 90.00
Space group Fm-3m (No. 225)
Asymmetric unit:
Li  0.2500  0.2500  0.2500 [8 per cell]
C  0.0000  0.0000  0.0000 [4 per cell]
Se  0.0000  0.0000  0.5000 [4 per cell]

Results
The formation energy from raw total energies comes out at 0.5605 eV per atom. The total magnetic moment is 0.0 μB per cell.

=====

[11]
The following is a GGA-PBE calculation of LiCSe3 after structural relaxation, from the Alexandria database.

Lattice parameters (Å, degrees): 4.5867 4.5867 4.5867 90.00 90.00 90.00
Space group Pm-3m (No. 221)
Asymmetric unit:
Li  0.0000  0.0000  0.0000 [1 per cell]
C  0.5000  0.5000  0.5000 [1 per cell]
Se  0.0000  0.0000  0.5000 [3 per cell]

Results
The formation energy from raw total energies comes out at 1.6167 eV per atom. The total magnetic moment is 0.5 μB per cell.

=====

[12]
The following is a GGA-PBE calculation of Li2CSe after structural relaxation, from the Alexandria database.

Lattice parameters (Å, degrees): 3.6915 3.6915 15.4229 90.00 90.00 90.00
Space group I-42d (No. 122)
Asymmetric unit:
Li  0.1972  0.2500  0.1250 [8 per cell]
C  0.0000  0.0000  0.0000 [4 per cell]
Se  0.0000  0.0000  0.5000 [4 per cell]

Results
The formation energy from raw total energies comes out at 0.5390 eV per atom. The total magnetic moment is 0.0 μB per cell.

=====

[13]
The following is a GGA-PBE calculation of Li3CSe after structural relaxation, from the Alexandria database.

Lattice parameters (Å, degrees): 4.7774 4.7774 4.7774 90.00 90.00 90.00
Space group Pm-3m (No. 221)
Asymmetric unit:
Li  0.0000  0.0000  0.5000 [3 per cell]
C  0.5000  0.5000  0.5000 [1 per cell]
Se  0.0000  0.0000  0.0000 [1 per cell]

Results
The formation energy from raw total energies comes out at 0.4242 eV per atom. The total magnetic moment is 3.0 μB per cell.

=====

[14]
The following is a GGA-PBE calculation of LiCSe3 after structural relaxation, from the Alexandria database.

Lattice parameters (Å, degrees): 4.4796 4.4796 4.4796 90.00 90.00 90.00
Space group Pm-3m (No. 221)
Asymmetric unit:
Li  0.0000  0.0000  0.0000 [1 per cell]
C  0.5000  0.5000  0.5000 [1 per cell]
Se  0.0000  0.5000  0.5000 [3 per cell]

Results
The formation energy from raw total energies comes out at 0.7168 eV per atom. The total magnetic moment is 0.0 μB per cell.